DFT (PBE with a Hubbard U) results for crystalline Zn2Cr3O8 at its relaxed geometry.

abc: 5.9316 5.9316 5.0764
angles: 107.69 107.69 59.99
Last column: nearest neighbours and their distance in Å.
Atoms (fractional coordinates):
1 Zn 0.1851 0.1851 0.1343  4 O 1.98-2.00
2 Zn 0.8149 0.8149 0.8657  4 O 1.98-2.00
3 Cr 0.2404 0.7596 0.5000  6 O 1.91-2.05
4 Cr 0.5000 0.5000 0.0000  6 O 1.92-2.00
5 Cr 0.7596 0.2404 0.5000  6 O 1.91-2.05
6 O 0.1124 0.1124 0.7140  2 Cr 1.91, 1 Zn 2.00
7 O 0.1646 0.6335 0.7506  2 Cr 1.91-1.92, 1 Zn 1.98
8 O 0.3665 0.8354 0.2494  2 Cr 1.91-1.92, 1 Zn 1.98
9 O 0.3903 0.3903 0.2573  1 Zn 1.98, 3 Cr 2.00-2.05
10 O 0.6097 0.6097 0.7427  1 Zn 1.98, 3 Cr 2.00-2.05
11 O 0.6335 0.1646 0.7506  2 Cr 1.91-1.92, 1 Zn 1.98
12 O 0.8354 0.3665 0.2494  2 Cr 1.91-1.92, 1 Zn 1.98
13 O 0.8876 0.8876 0.2860  2 Cr 1.91, 1 Zn 2.00

Calculated values
polymorph energy (0 for the lowest one)	0.020	eV per atom
mass density	4.76	g/cm³
final energy	-84.44	eV/cell
crystal system	monoclinic